Computed, not measured: NaTmS2O8 after structural relaxation at the GGA-PBEsol level of DFT.

Cell and atoms, written as POSCAR:
```
NaTmS2O8
1.0
4.618 0.000 0.000
0.000 6.789 0.000
-1.274 0.000 9.598
Na Tm S O
2 2 4 16
Cartesian
0.083 1.697 3.425
3.262 5.092 6.173
-0.380 1.697 7.918
3.725 5.092 1.680
1.066 5.092 3.839
0.500 5.092 8.914
2.844 1.697 0.684
2.279 1.697 5.759
0.421 3.923 3.162
0.421 6.262 3.162
0.028 3.899 8.191
0.028 6.285 8.191
1.261 5.092 0.731
1.367 1.697 0.563
0.873 5.092 5.279
0.820 1.697 6.057
2.524 5.092 3.540
2.472 1.697 4.319
1.978 5.092 9.035
2.083 1.697 8.866
3.316 0.504 1.407
3.316 2.891 1.407
2.923 0.528 6.436
2.923 2.867 6.436
```

## Properties
Density of states at the Fermi level = 0.0 states/eV/cell
Energy = -6.879 eV per atom
Formation energy without anion corrections = -2.124 eV per atom
Magnetic moment = 0.00 μB/f.u.

***

Computed, not measured: Co2AgMo after structural relaxation at the GGA-PBEsol level of DFT.

Cell and atoms, written as POSCAR:
```
Co2AgMo
1.0
4.515 0.000 0.000
0.000 2.613 0.000
-1.888 0.000 4.422
Co Ag Mo
2 1 1
Cartesian
0.000 0.000 0.000
-0.944 1.306 2.211
1.313 0.000 2.211
2.257 1.306 0.000
```

## Properties
Energy above the most stable polymorph in this dataset = 218 meV per atom
Density of states at the Fermi level = 4.7 states/eV/cell
Energy = -7.157 eV per atom
E_form = 0.481 eV/atom
Magnetic moment = 1.95 μB/f.u.

***

Computed, not measured: Y2RePb after structural relaxation at the GGA-PBEsol level of DFT.

Cell and atoms, written as POSCAR:
```
Y2RePb
1.0
4.850 0.000 0.000
0.000 4.850 0.000
0.000 0.000 3.827
Y Re Pb
2 1 1
Cartesian
0.000 2.425 0.000
2.425 0.000 0.000
0.000 0.000 1.913
2.425 2.425 1.913
```

## Properties
Density of states at the Fermi level = 2.4 states/eV/cell
Energy = -7.728 eV per atom
E_form = 0.015 eV/atom
Magnetic moment = 0.00 μB/f.u.

***

Computed, not measured: La2ZnCo after structural relaxation at the GGA-PBEsol level of DFT.

Cell and atoms, written as POSCAR:
```
La2ZnCo
1.0
3.713 0.000 0.000
0.000 3.567 0.000
-1.055 0.000 6.871
La Zn Co
2 1 1
Cartesian
0.033 0.000 1.903
2.625 0.000 4.968
1.857 1.783 0.000
1.329 1.783 3.435
```

## Properties
Density of states at the Fermi level = 3.3 states/eV/cell
Energy = -5.106 eV per atom
E_form = -0.103 eV/atom
Magnetic moment = 0.00 μB/f.u.

***

Computed, not measured: K2CrCo after structural relaxation at the GGA-PBEsol level of DFT.

Cell and atoms, written as POSCAR:
```
K2CrCo
1.0
3.110 0.000 0.000
0.000 3.110 0.000
0.000 0.000 10.684
K Cr Co
2 1 1
Cartesian
0.000 0.000 2.423
0.000 0.000 8.260
1.555 1.555 5.342
1.555 1.555 0.000
```

## Properties
Energy above the most stable polymorph in this dataset = 594 meV per atom
Density of states at the Fermi level = 3.2 states/eV/cell
Energy = -3.595 eV per atom
E_form = 1.466 eV/atom
Magnetic moment = 6.51 μB/f.u.

***

Computed, not measured: Ag2HgOs after structural relaxation at the GGA-PBEsol level of DFT.

Cell and atoms, written as POSCAR:
```
Ag2HgOs
1.0
-1.386 2.461 4.905
1.386 -2.461 4.905
1.386 2.461 -4.905
Ag Hg Os
2 1 1
Cartesian
0.000 0.000 0.000
0.000 2.461 2.451
1.386 0.000 2.504
0.000 0.000 4.953
```

## Properties
Density of states at the Fermi level = 1.8 states/eV/cell
Energy = -4.212 eV per atom
E_form = 0.639 eV/atom
Magnetic moment = 0.00 μB/f.u.

***

Computed, not measured: K2AgF after structural relaxation at the GGA-PBEsol level of DFT.

Cell and atoms, written as POSCAR:
```
K2AgF
1.0
0.000 3.754 3.754
3.754 0.000 3.754
3.754 3.754 0.000
K Ag F
2 1 1
Cartesian
1.877 1.877 1.877
5.631 5.631 5.631
0.000 0.000 0.000
3.754 3.754 3.754
```

## Properties
Density of states at the Fermi level = 0.0 states/eV/cell
Energy = -2.798 eV per atom
Formation energy without anion corrections = -0.921 eV per atom
Magnetic moment = 0.00 μB/f.u.

***

Computed, not measured: AlPtN3 after structural relaxation at the GGA-PBEsol level of DFT.

Cell and atoms, written as POSCAR:
```
AlPtN3
1.0
3.698 0.000 0.000
0.000 3.698 0.000
0.000 0.000 3.698
Al Pt N
1 1 3
Cartesian
0.000 0.000 0.000
1.849 1.849 1.849
0.000 0.000 1.849
0.000 1.849 0.000
1.849 0.000 0.000
```

## Properties
Density of states at the Fermi level = 2.5 states/eV/cell
Energy = -6.157 eV per atom
Formation energy without anion corrections = 1.170 eV per atom
Magnetic moment = 0.00 μB/f.u.

***

- energy of number 7 (K2AgF)?
  -2.798 eV per atom

***

Repeat the third record exactly.
Computed, not measured: Y2RePb after structural relaxation at the GGA-PBEsol level of DFT.

Cell and atoms, written as POSCAR:
```
Y2RePb
1.0
4.850 0.000 0.000
0.000 4.850 0.000
0.000 0.000 3.827
Y Re Pb
2 1 1
Cartesian
0.000 2.425 0.000
2.425 0.000 0.000
0.000 0.000 1.913
2.425 2.425 1.913
```

## Properties
Density of states at the Fermi level = 2.4 states/eV/cell
Energy = -7.728 eV per atom
E_form = 0.015 eV/atom
Magnetic moment = 0.00 μB/f.u.

***

- magnetic moment of number 8 (AlPtN3)?
  0.00 μB/f.u.